# 1
The following is a GGA-PBE calculation of FeP4 after structural relaxation, from OQMD via LeMat-Bulk.

## Properties
Crystal system: monoclinic

a b c (Å): 4.6110 13.6571 6.9981
angles (deg): 90.00 101.47 90.00
Positions (direct):
Fe 0.0000 0.0000 0.0000
Fe 0.8598 0.6701 0.1191
Fe 0.1402 0.1701 0.3809
Fe 0.0000 0.5000 0.5000
Fe 0.8598 0.8299 0.6191
Fe 0.1402 0.3299 0.8809
P 0.5088 0.7804 0.0323
P 0.3676 0.4439 0.0700
P 0.9283 0.2748 0.1345
P 0.3437 0.1070 0.1464
P 0.2632 0.8874 0.1951
P 0.8048 0.0541 0.2493
P 0.1952 0.5541 0.2507
P 0.7368 0.3874 0.3049
P 0.6563 0.6070 0.3536
P 0.0717 0.7748 0.3655
P 0.6324 0.9439 0.4300
P 0.4912 0.2804 0.4677
P 0.5088 0.7196 0.5323
P 0.3676 0.0561 0.5700
P 0.9283 0.2252 0.6345
P 0.3437 0.3930 0.6464
P 0.2632 0.6126 0.6951
P 0.8048 0.4459 0.7493
P 0.1952 0.9459 0.7507
P 0.7368 0.1126 0.8049
P 0.6563 0.8930 0.8536
P 0.0717 0.7252 0.8655
P 0.6324 0.5561 0.9300
P 0.4912 0.2196 0.9677

***

# 2
The following is a GGA-PBE calculation of FePPdPt4 after structural relaxation, from OQMD via LeMat-Bulk.

## Properties
Crystal system: tetragonal

a b c (Å): 3.9292 3.9292 6.8931
angles (deg): 90.00 90.00 90.00
Positions (direct):
Fe 0.0000 0.0000 0.0000
P 0.5000 0.5000 0.5000
Pd 0.5000 0.5000 0.0000
Pt 0.5000 0.0000 0.2874
Pt 0.0000 0.5000 0.2874
Pt 0.5000 0.0000 0.7126
Pt 0.0000 0.5000 0.7126

***

# 3
The following is a GGA-PBE calculation of FePPd4Pt after structural relaxation, from OQMD via LeMat-Bulk.

## Properties
Crystal system: tetragonal

a b c (Å): 3.9107 3.9107 6.8921
angles (deg): 90.00 90.00 90.00
Positions (direct):
Fe 0.0000 0.0000 0.0000
P 0.5000 0.5000 0.5000
Pd 0.5000 0.0000 0.2909
Pd 0.0000 0.5000 0.2909
Pd 0.5000 0.0000 0.7091
Pd 0.0000 0.5000 0.7091
Pt 0.5000 0.5000 0.0000

***

# 4
The following is a GGA-PBE calculation of SmFeP2Pd after structural relaxation, from OQMD via LeMat-Bulk.

## Properties
Crystal system: tetragonal

a b c (Å): 5.6558 5.6558 5.6558
angles (deg): 138.22 138.22 60.57
Positions (direct):
Fe 0.0000 0.0000 0.0000
P 0.6293 0.1293 0.5000
P 0.8707 0.3707 0.5000
Pd 0.5000 0.5000 0.0000
Sm 0.2500 0.7500 0.5000

***

# 5
The following is a GGA-PBE calculation of SrFeP2Pd after structural relaxation, from OQMD via LeMat-Bulk.

## Properties
Crystal system: tetragonal

a b c (Å): 6.3618 6.3618 6.3618
angles (deg): 143.36 143.36 52.79
Positions (direct):
Fe 0.0000 0.0000 0.0000
P 0.1064 0.6064 0.5000
P 0.3936 0.8936 0.5000
Pd 0.5000 0.5000 0.0000
Sr 0.7500 0.2500 0.5000

***

# 6
The following is a GGA-PBE calculation of PmFe2P2 after structural relaxation, from OQMD via LeMat-Bulk.

## Properties
Crystal system: tetragonal

a b c (Å): 5.6472 5.6472 5.6472
angles (deg): 140.28 140.28 57.43
Positions (direct):
Fe 0.7500 0.2500 0.5000
Fe 0.2500 0.7500 0.5000
P 0.3606 0.3606 0.0000
P 0.6394 0.6394 0.0000
Pm 0.0000 0.0000 0.0000

***

# 7
The following is a GGA-PBE calculation of Pr2Fe12P7 after structural relaxation, from OQMD via LeMat-Bulk.

## Properties
Crystal system: hexagonal

a b c (Å): 9.0521 3.6752 9.0532
angles (deg): 90.00 120.00 90.00
Positions (direct):
Fe 0.6180 0.5000 0.0478
Fe 0.8485 0.0000 0.1203
Fe 0.2717 0.0000 0.1514
Fe 0.0972 0.5000 0.2147
Fe 0.4299 0.5000 0.3821
Fe 0.0544 0.0000 0.4252
Fe 0.9522 0.5000 0.5702
Fe 0.5747 0.0000 0.6291
Fe 0.8798 0.0000 0.7284
Fe 0.7852 0.5000 0.8825
Fe 0.1174 0.5000 0.9027
Fe 0.3709 0.0000 0.9456
P 0.0000 0.0000 0.0000
P 0.3953 0.5000 0.1061
P 0.8941 0.5000 0.2894
P 0.2976 0.0000 0.4048
P 0.7107 0.5000 0.6047
P 0.1072 0.0000 0.7023
P 0.5952 0.0000 0.8926
Pr 0.6667 0.0000 0.3334
Pr 0.3333 0.5000 0.6666

***

# 8
The following is a GGA-PBE calculation of PrFe2SiP after structural relaxation, from OQMD via LeMat-Bulk.

## Properties
Crystal system: tetragonal

a b c (Å): 5.6960 5.6960 5.6960
angles (deg): 139.62 139.62 58.42
Positions (direct):
Fe 0.7530 0.2530 0.5000
Fe 0.2530 0.7530 0.5000
P 0.3573 0.3573 0.0000
Pr 0.9972 0.9972 0.0000
Si 0.6394 0.6394 0.0000

***

no.,final energy (eV per atom)
1,-6.36
2,-6.48
3,-6.12
4,-6.67
5,-5.90
6,-7.42
7,-7.64
8,-7.25